Entry 1:
This record from Alexandria via LeMat-Bulk describes crystalline Th2MnPt9 at its relaxed geometry. The functional is PBE.

Computed properties:
symmetry = No. 166
formation energy from the elements = -7.43 eV per formula unit

a = 5.4253 Å, b = 5.4253 Å, c = 9.4930 Å
α = 73.40°, β = 73.40°, γ = 60.00°
Fractional positions:
Th (0.1342, 0.1342, 0.5974)
Th (0.8658, 0.8658, 0.4026)
Pt (0.5869, 0.5869, 0.7464)
Pt (0.0798, 0.5869, 0.7464)
Pt (0.4131, 0.4131, 0.2536)
Pt (0.5000, 0.5000, 0.5000)
Pt (0.6672, 0.6672, 0.9984)
Pt (0.3328, 0.3328, 0.0016)
Pt (0.4131, 0.9202, 0.2536)
Pt (0.5869, 0.0798, 0.7464)
Pt (0.9202, 0.4131, 0.2536)
Mn (0.0000, 0.0000, 0.0000)

Entry 2:
This record from Alexandria via LeMat-Bulk describes crystalline Ti4CuTc at its relaxed geometry. The functional is PBE.

Computed properties:
symmetry = No. 123
formation energy from the elements = -1.22 eV per formula unit

a = 3.0838 Å, b = 3.0838 Å, c = 9.8438 Å
α = 90.00°, β = 90.00°, γ = 90.00°
Fractional positions:
Tc (0.0000, 0.0000, 0.0000)
Cu (0.5000, 0.5000, 0.5000)
Ti (0.5000, 0.5000, 0.1540)
Ti (0.0000, 0.0000, 0.3364)
Ti (0.5000, 0.5000, 0.8460)
Ti (0.0000, 0.0000, 0.6636)

Entry 3:
This record from Alexandria via LeMat-Bulk describes crystalline Pr12Ru6Pb at its relaxed geometry. The functional is PBE.

Computed properties:
symmetry = No. 204
formation energy from the elements = -3.34 eV per formula unit

a = 8.8989 Å, b = 8.8989 Å, c = 8.8989 Å
α = 109.47°, β = 109.47°, γ = 109.47°
Fractional positions:
Pr (0.1046, 0.8046, 0.3000)
Pr (0.5046, 0.8046, 0.7000)
Pr (0.4954, 0.1954, 0.3000)
Pr (0.3000, 0.4954, 0.1954)
Pr (0.8954, 0.1954, 0.7000)
Pr (0.1954, 0.3000, 0.4954)
Pr (0.8046, 0.3000, 0.1046)
Pr (0.7000, 0.8954, 0.1954)
Pr (0.3000, 0.1046, 0.8046)
Pr (0.1954, 0.7000, 0.8954)
Pr (0.7000, 0.5046, 0.8046)
Pr (0.8046, 0.7000, 0.5046)
Ru (0.1193, 0.6193, 0.5000)
Ru (0.8807, 0.3807, 0.5000)
Ru (0.6193, 0.5000, 0.1193)
Ru (0.5000, 0.1193, 0.6193)
Ru (0.3807, 0.5000, 0.8807)
Ru (0.5000, 0.8807, 0.3807)
Pb (0.0000, 0.0000, 0.0000)

Entry 4:
This record from Alexandria via LeMat-Bulk describes crystalline HoErSi at its relaxed geometry. The functional is PBE.

Computed properties:
symmetry = No. 107
ΔE_f (raw) = -0.3659 eV per atom

a = 3.3682 Å, b = 3.3682 Å, c = 6.9592 Å
α = 104.00°, β = 104.00°, γ = 90.00°
Fractional positions:
Ho (0.9220, 0.9220, 0.8441)
Si (0.2829, 0.2829, 0.5658)
Er (0.6450, 0.6450, 0.2901)

Entry 5:
This record from Alexandria via LeMat-Bulk describes crystalline Li2ICl at its relaxed geometry. The functional is PBE.

Computed properties:
symmetry = No. 1
ΔE_f (raw) = -1.4997 eV per atom

a = 4.2613 Å, b = 7.3186 Å, c = 7.3271 Å
α = 79.18°, β = 90.02°, γ = 73.08°
Fractional positions:
Li (0.6457, 0.4016, 0.6380)
Li (0.4079, 0.8777, 0.9475)
Li (0.1866, 0.3193, 0.2211)
Li (0.9262, 0.8424, 0.3893)
I (0.8483, 0.9965, 0.7150)
I (0.6091, 0.4742, 0.0004)
Cl (0.1003, 0.4924, 0.4785)
Cl (0.3631, 0.9678, 0.2446)

Entry 6:
This record from Alexandria via LeMat-Bulk describes crystalline SrMg3Hg3 at its relaxed geometry. The functional is PBE.

Computed properties:
symmetry = No. 11
formation energy from the elements = -2.14 eV per formula unit

a = 4.9302 Å, b = 9.2192 Å, c = 8.8711 Å
α = 118.57°, β = 90.00°, γ = 90.00°
Fractional positions:
Hg (0.7500, 0.9084, 0.3885)
Hg (0.2500, 0.0916, 0.6115)
Hg (0.2500, 0.6157, 0.8533)
Hg (0.2500, 0.2426, 0.2590)
Hg (0.7500, 0.3843, 0.1467)
Hg (0.7500, 0.7574, 0.7410)
Sr (0.2500, 0.6555, 0.4318)
Sr (0.7500, 0.3445, 0.5682)
Mg (0.7500, 0.0894, 0.7771)
Mg (0.7500, 0.0417, 0.1156)
Mg (0.2500, 0.3593, 0.9534)
Mg (0.2500, 0.9106, 0.2229)
Mg (0.2500, 0.9583, 0.8844)
Mg (0.7500, 0.6407, 0.0466)

Entry 7:
This record from Alexandria via LeMat-Bulk describes crystalline Dy2HoSc at its relaxed geometry. The functional is PBE.

Computed properties:
symmetry = No. 123
formation energy from the elements = 0.16 eV per formula unit

a = 4.8926 Å, b = 4.9090 Å, c = 4.9090 Å
α = 90.00°, β = 90.00°, γ = 90.00°
Fractional positions:
Dy (0.0000, 0.5000, 0.0000)
Dy (0.0000, 0.0000, 0.5000)
Ho (0.5000, 0.5000, 0.5000)
Sc (0.5000, 0.0000, 0.0000)

Entry 8:
This record from Alexandria via LeMat-Bulk describes crystalline Fe4CuNi7 at its relaxed geometry. The functional is PBE.

Computed properties:
symmetry = No. 12
formation energy from the elements = 3.38 eV per formula unit

a = 4.3081 Å, b = 7.9924 Å, c = 4.9452 Å
α = 82.59°, β = 64.18°, γ = 74.36°
Fractional positions:
Ni (0.5000, 0.0000, 0.0000)
Ni (0.6542, 0.4592, 0.2324)
Ni (0.3458, 0.5408, 0.7676)
Ni (0.7906, 0.9159, 0.5028)
Ni (0.9608, 0.3769, 0.7014)
Ni (0.2094, 0.0841, 0.4972)
Ni (0.0392, 0.6231, 0.2986)
Fe (0.2751, 0.3091, 0.1407)
Fe (0.4041, 0.7747, 0.4171)
Fe (0.5959, 0.2253, 0.5829)
Fe (0.7249, 0.6909, 0.8593)
Cu (0.0000, 0.0000, 0.0000)

Entry 9:
This record from Alexandria via LeMat-Bulk describes crystalline SrP2PdO6 at its relaxed geometry. The functional is PBE.

Computed properties:
symmetry = No. 148
ΔE_f (raw) = -1.7493 eV per atom

a = 6.4459 Å, b = 6.4459 Å, c = 5.4635 Å
α = 53.85°, β = 53.85°, γ = 60.00°
Fractional positions:
Sr (0.0000, 0.0000, 0.0000)
O (0.9482, 0.4906, 0.7903)
O (0.4906, 0.7710, 0.7903)
O (0.5094, 0.2290, 0.2097)
O (0.0518, 0.5094, 0.2097)
O (0.2290, 0.0518, 0.2097)
O (0.7710, 0.9482, 0.7903)
Pd (0.5000, 0.5000, 0.5000)
P (0.7125, 0.7125, 0.8625)
P (0.2875, 0.2875, 0.1375)

Entry 10:
This record from Alexandria via LeMat-Bulk describes crystalline LiNi2B at its relaxed geometry. The functional is PBE.

Computed properties:
symmetry = No. 123
formation energy from the elements = -0.16 eV per formula unit

a = 2.6988 Å, b = 3.5954 Å, c = 3.5954 Å
α = 90.00°, β = 90.00°, γ = 90.00°
Fractional positions:
Ni (0.0000, 0.5000, 0.0000)
Ni (0.0000, 0.0000, 0.5000)
Li (0.5000, 0.0000, 0.0000)
B (0.5000, 0.5000, 0.5000)

Entry 11:
This record from Alexandria via LeMat-Bulk describes crystalline AcPuBiBr at its relaxed geometry. The functional is PBE.

Computed properties:
symmetry = No. 216
ΔE_f (raw) = -0.8052 eV per atom

a = 5.6263 Å, b = 5.6263 Å, c = 5.6263 Å
α = 60.00°, β = 60.00°, γ = 60.00°
Fractional positions:
Br (0.5000, 0.5000, 0.5000)
Ac (0.7500, 0.7500, 0.7500)
Bi (0.0000, 0.0000, 0.0000)
Pu (0.2500, 0.2500, 0.2500)

Entry 12:
This record from Alexandria via LeMat-Bulk describes crystalline KZrMo2 at its relaxed geometry. The functional is PBE.

Computed properties:
symmetry = No. 47
formation energy from the elements = 3.26 eV per formula unit

a = 2.7876 Å, b = 4.8734 Å, c = 7.5300 Å
α = 90.00°, β = 90.00°, γ = 90.00°
Fractional positions:
K (0.5000, 0.5000, 0.7500)
Zr (0.5000, 0.5000, 0.2500)
Mo (0.0000, 0.0000, 0.0939)
Mo (0.0000, 0.0000, 0.4061)